# 1
Entry from Alexandria via LeMat-Bulk: an optimized crystal structure of Ni3AgBi (GGA-PBEsol).

abc: 4.546 4.546 4.546
angles: 90.00 90.00 90.00
Fractional coordinates of all 5 atoms:
1 Ni 0.000 0.000 0.500
2 Ni 0.000 0.500 0.000
3 Ni 0.500 0.000 0.000
4 Ag 0.000 0.000 0.000
5 Bi 0.500 0.500 0.500

Properties
Fermi-level density of states (states/eV/cell): 9.24
E (eV per cell): -20.3
Energy relative to the elements (eV per atom): 1.15
Symmetry: No. 221

# 2
Entry from Alexandria via LeMat-Bulk: an optimized crystal structure of MnRh2W (GGA-PBEsol).

abc: 4.606 4.606 4.606
angles: 131.60 131.60 70.86
Fractional coordinates of all 4 atoms:
1 Mn 0.000 0.000 0.000
2 Rh 0.250 0.750 0.500
3 Rh 0.750 0.250 0.500
4 W 0.500 0.500 0.000

Properties
Fermi-level density of states (states/eV/cell): 4.04
E (eV per cell): -40.4
Energy relative to the elements (eV per atom): -0.13
Symmetry: No. 139

# 3
Entry from Alexandria via LeMat-Bulk: an optimized crystal structure of EuSb2Pd2 (GGA-PBEsol).

abc: 4.576 4.576 10.593
angles: 90.00 90.00 90.00
Fractional coordinates of all 10 atoms:
1 Eu 0.250 0.250 0.241
2 Eu 0.750 0.750 0.759
3 Sb 0.250 0.250 0.872
4 Sb 0.250 0.750 0.500
5 Sb 0.750 0.250 0.500
6 Sb 0.750 0.750 0.128
7 Pd 0.250 0.250 0.630
8 Pd 0.250 0.750 0.000
9 Pd 0.750 0.250 0.000
10 Pd 0.750 0.750 0.370

Properties
Fermi-level density of states (states/eV/cell): 25.07
E (eV per cell): -71.3
Symmetry: No. 129

# 4
Entry from Alexandria via LeMat-Bulk: an optimized crystal structure of YTaHg (GGA-PBEsol).

abc: 4.807 4.807 4.807
angles: 60.00 60.00 60.00
Fractional coordinates of all 3 atoms:
1 Y 0.000 0.000 0.000
2 Ta 0.250 0.250 0.250
3 Hg 0.750 0.750 0.750

Properties
Fermi-level density of states (states/eV/cell): 4.00
E (eV per cell): -16.3
Energy relative to the elements (eV per atom): 1.21
Symmetry: No. 216

| no. | magnetic moment (μB per formula unit) |
| --- | --- |
| 1 | 1.17 |
| 2 | 1.67 |
| 3 | 6.88 |
| 4 | 2.60 |